DFT (PBE) results for a geometry-optimized CsNaTe2Pb structure.

Properties
V: 483.1 Å³ per cell
ΔE_f (raw): -739 meV/atom

Structure (POSCAR):
```
CsNaTe2Pb
1.0
8.518 -2.623 0.000
8.518 2.623 0.000
-1.498 0.000 10.812
Cs Na Te Pb
2 2 4 2
Cartesian
2.721 0.000 1.804 Cs
12.817 0.000 9.008 Cs
2.332 0.000 5.990 Na
13.206 0.000 4.822 Na
1.161 0.000 8.811 Te
5.484 0.000 6.201 Te
10.053 0.000 4.611 Te
14.377 0.000 2.001 Te
6.990 0.000 3.439 Pb
8.547 0.000 7.373 Pb
```

DFT (PBE) results for a geometry-optimized CsNaTlPb structure.

Properties
Excess energy over the best structure of this formula in the dataset: 0 meV/atom
V: 180.7 Å³ per cell
Energy relative to the elements: -85.4 meV per atom

Structure (POSCAR):
```
CsNaTlPb
1.0
4.655 -2.682 0.000
4.655 2.682 0.000
-3.108 0.000 7.236
Cs Na Tl Pb
1 1 1 1
Cartesian
0.000 0.000 0.000 Cs
-0.009 0.000 4.093 Na
3.101 0.000 2.360 Tl
6.199 0.000 3.185 Pb
```

DFT (PBE) results for a geometry-optimized CsNa2TlPb structure.

Properties
Excess energy over the best structure of this formula in the dataset: 0 meV/atom
V: 230.4 Å³ per cell
Energy relative to the elements: -41.1 meV per atom

Structure (POSCAR):
```
CsNa2TlPb
1.0
6.143 0.000 0.000
0.000 6.143 0.000
0.000 0.000 6.105
Cs Na Tl Pb
1 2 1 1
Cartesian
0.000 0.000 0.000 Cs
0.000 3.072 3.053 Na
3.072 0.000 3.053 Na
3.072 3.072 0.000 Tl
3.072 3.072 3.053 Pb
```

DFT (PBE) results for a geometry-optimized Cs2Na4TlPb2 structure.

Properties
V: 373.3 Å³ per cell
Energy relative to the elements: -56.0 meV per atom

Structure (POSCAR):
```
Cs2Na4TlPb2
1.0
7.619 -4.315 0.000
7.619 4.315 0.000
-1.224 0.000 5.677
Cs Na Tl Pb
2 4 1 2
Cartesian
1.614 0.000 1.127 Cs
12.400 0.000 4.551 Cs
4.974 1.679 1.707 Na
9.039 1.679 3.970 Na
4.974 -1.679 1.707 Na
9.039 -1.679 3.970 Na
7.619 0.000 0.000 Tl
3.706 0.000 4.384 Pb
10.308 0.000 1.294 Pb
```

DFT (PBE) results for a geometry-optimized CsNaTl2Pb structure.

Properties
V: 230.5 Å³ per cell
Energy relative to the elements: 39.4 meV per atom

Structure (POSCAR):
```
CsNaTl2Pb
1.0
6.191 0.000 0.000
0.000 6.191 0.000
0.000 0.000 6.014
Cs Na Tl Pb
1 1 2 1
Cartesian
0.000 0.000 0.000 Cs
3.095 3.095 0.000 Na
0.000 3.095 3.007 Tl
3.095 0.000 3.007 Tl
3.095 3.095 3.007 Pb
```

DFT (PBE) results for a geometry-optimized CsNa2TlPb structure.

Properties
Excess energy over the best structure of this formula in the dataset: 40 meV/atom
V: 223.2 Å³ per cell
Energy relative to the elements: -1.1 meV per atom

Structure (POSCAR):
```
CsNa2TlPb
1.0
6.092 0.000 0.000
0.000 6.092 0.000
0.000 0.000 6.015
Cs Na Tl Pb
1 2 1 1
Cartesian
0.000 0.000 0.000 Cs
0.000 3.046 3.008 Na
3.046 0.000 3.008 Na
3.046 3.046 3.008 Tl
3.046 3.046 0.000 Pb
```

DFT (PBE) results for a geometry-optimized Cs2NaTl3Pb4 structure.

Properties
V: 381.3 Å³ per cell
Energy relative to the elements: -67.5 meV per atom

Structure (POSCAR):
```
Cs2NaTl3Pb4
1.0
5.318 0.000 0.000
0.000 5.318 0.000
0.000 0.000 13.481
Cs Na Tl Pb
2 1 3 4
Cartesian
0.000 2.659 3.347 Cs
2.659 0.000 10.134 Cs
0.000 0.000 6.741 Na
0.000 2.659 11.608 Tl
2.659 0.000 1.873 Tl
2.659 2.659 6.741 Tl
0.000 0.000 0.000 Pb
0.000 2.659 8.512 Pb
2.659 0.000 4.969 Pb
2.659 2.659 0.000 Pb
```

DFT (PBE) results for a geometry-optimized CsNaTlPb structure.

Properties
Excess energy over the best structure of this formula in the dataset: 43 meV/atom
V: 144.8 Å³ per cell
Energy relative to the elements: -42.6 meV per atom

Structure (POSCAR):
```
CsNaTlPb
1.0
0.000 4.167 4.167
4.167 0.000 4.167
4.167 4.167 0.000
Cs Na Tl Pb
1 1 1 1
Cartesian
0.000 0.000 0.000 Cs
2.084 2.084 2.084 Na
6.251 6.251 6.251 Tl
4.167 4.167 4.167 Pb
```

DFT (PBE) results for a geometry-optimized CsNaYPb2 structure.

Properties
V: 192.9 Å³ per cell
Energy relative to the elements: 415.8 meV per atom

Structure (POSCAR):
```
CsNaYPb2
1.0
5.778 0.000 0.000
0.000 5.778 0.000
0.000 0.000 5.778
Cs Na Y Pb
1 1 1 2
Cartesian
0.000 0.000 0.000 Cs
2.889 2.889 2.889 Na
2.889 2.889 0.000 Y
0.000 2.889 2.889 Pb
2.889 0.000 2.889 Pb
```

DFT (PBE) results for a geometry-optimized CsNa4Pd structure.

Properties
V: 527.2 Å³ per cell
Energy relative to the elements: -33.9 meV per atom

Structure (POSCAR):
```
CsNa4Pd
1.0
11.432 -4.211 0.000
11.432 4.211 0.000
-1.390 0.000 5.477
Cs Na Pd
2 8 2
Cartesian
4.560 0.000 1.166 Cs
16.914 0.000 4.311 Cs
8.974 1.916 2.291 Na
11.432 2.546 0.000 Na
12.499 1.916 3.186 Na
7.525 0.000 4.839 Na
13.949 0.000 0.638 Na
8.974 -1.916 2.291 Na
11.432 -2.546 0.000 Na
12.499 -1.916 3.186 Na
11.081 0.000 1.383 Pd
10.393 0.000 4.094 Pd
```

DFT (PBE) results for a geometry-optimized CsNaPd2 structure.

Properties
V: 255.3 Å³ per cell
Energy relative to the elements: 226.1 meV per atom

Structure (POSCAR):
```
CsNaPd2
1.0
-2.544 2.544 9.863
2.544 -2.544 9.863
2.544 2.544 -9.863
Cs Na Pd
2 2 4
Cartesian
0.000 0.000 0.000 Cs
0.000 2.544 4.931 Cs
2.544 0.000 4.931 Na
0.000 0.000 9.863 Na
1.272 -0.407 7.397 Pd
2.137 1.272 2.466 Pd
1.272 2.950 -2.466 Pd
0.407 1.272 12.328 Pd
```

DFT (PBE) results for a geometry-optimized CsNa2Pd2 structure.

Properties
Excess energy over the best structure of this formula in the dataset: 15 meV/atom
V: 257.9 Å³ per cell
Energy relative to the elements: 103.4 meV per atom

Structure (POSCAR):
```
CsNa2Pd2
1.0
8.640 0.000 0.000
0.000 8.640 0.000
0.000 0.000 3.454
Cs Na Pd
2 4 4
Cartesian
0.000 0.000 0.000 Cs
4.320 4.320 0.000 Cs
1.368 2.952 1.727 Na
2.952 7.273 1.727 Na
5.688 1.368 1.727 Na
7.273 5.688 1.727 Na
1.024 5.344 0.000 Pd
3.296 1.024 0.000 Pd
5.344 7.617 0.000 Pd
7.617 3.296 0.000 Pd
```